1.
# PBE-GGA ThAgHg2, relaxed
# **Formation enthalpy at 0 K**: -0.1155 eV/atom
# **VASP energy**: -2.83 eV per atom
# **Magnetic moment**: 0.00 μB per formula unit
# **DOS at the Fermi energy**: 0.642 states/eV per atom
data_ThAgHg2
_chemical_formula_sum 'Th1 Ag1 Hg2'
_cell_length_a 3.564
_cell_length_b 3.564
_cell_length_c 7.503
_cell_angle_alpha 90.00
_cell_angle_beta 90.00
_cell_angle_gamma 90.00
_space_group_name_H-M_alt 'P 4/m m m'
_space_group_IT_number 123
_space_group_name_Hall '-P 4 2'
loop_
_atom_site_label
_atom_site_type_symbol
_atom_site_fract_x
_atom_site_fract_y
_atom_site_fract_z
Th1 Th 0.000 0.000 0.000
Ag1 Ag 0.000 0.000 0.500
Hg1 Hg 0.500 0.500 0.283

=====

2.
# PBE-GGA Th3Ag4Hg4, relaxed
# **Formation enthalpy at 0 K**: -0.1774 eV/atom
# **Energy above the most stable polymorph in this dataset**: 0.0 meV/atom
# **VASP energy**: -3.35 eV per atom
# **Magnetic moment**: 0.00 μB per formula unit
# **DOS at the Fermi energy**: 0.567 states/eV per atom
data_Th3Ag4Hg4
_chemical_formula_sum 'Th6 Ag8 Hg8'
_cell_length_a 31.402
_cell_length_b 3.374
_cell_length_c 4.972
_cell_angle_alpha 90.00
_cell_angle_beta 99.07
_cell_angle_gamma 90.00
_space_group_name_H-M_alt 'C 1 2/m 1'
_space_group_IT_number 12
loop_
_space_group_symop_operation_xyz
'x,y,z'
'-x,-y,-z'
'-x,y,-z'
'x,-y,z'
'x+1/2,y+1/2,z'
'-x+1/2,-y+1/2,-z'
'-x+1/2,y+1/2,-z'
'x+1/2,-y+1/2,z'
loop_
_atom_site_label
_atom_site_type_symbol
_atom_site_fract_x
_atom_site_fract_y
_atom_site_fract_z
Th1 Th 0.000 0.000 0.000
Th2 Th 0.141 0.000 0.640
Ag1 Ag 0.093 0.500 0.093
Ag2 Ag 0.236 0.500 0.735
Hg1 Hg 0.048 0.500 0.548
Hg2 Hg 0.187 0.500 0.186

=====

3.
# PBE-GGA Th2AgHg, relaxed
# **Formation enthalpy at 0 K**: -0.1268 eV/atom
# **VASP energy**: -4.62 eV per atom
# **Magnetic moment**: 0.00 μB per formula unit
# **DOS at the Fermi energy**: 1.023 states/eV per atom
data_Th2AgHg
_chemical_formula_sum 'Th4 Ag2 Hg2'
_cell_length_a 6.527
_cell_length_b 4.704
_cell_length_c 7.396
_cell_angle_alpha 90.00
_cell_angle_beta 106.52
_cell_angle_gamma 90.00
_space_group_name_H-M_alt 'P 1 21/m 1'
_space_group_IT_number 11
loop_
_space_group_symop_operation_xyz
'x,y,z'
'-x,-y,-z'
'-x,y+1/2,-z'
'x,-y+1/2,z'
loop_
_atom_site_label
_atom_site_type_symbol
_atom_site_fract_x
_atom_site_fract_y
_atom_site_fract_z
Th1 Th 0.174 0.250 0.415
Th2 Th 0.177 0.250 0.923
Ag1 Ag 0.360 0.750 0.216
Hg1 Hg 0.366 0.750 0.715

=====

4.
# PBE-GGA ThAg2Hg4, relaxed
# **Formation enthalpy at 0 K**: -0.1004 eV/atom
# **VASP energy**: -2.15 eV per atom
# **Magnetic moment**: 0.00 μB per formula unit
# **DOS at the Fermi energy**: 0.481 states/eV per atom
data_ThAg2Hg4
_chemical_formula_sum 'Th3 Ag6 Hg12'
_cell_length_a 5.0037
_cell_length_b 5.0037
_cell_length_c 23.6999
_cell_angle_alpha 90.00
_cell_angle_beta 90.00
_cell_angle_gamma 120.00
_space_group_name_H-M_alt 'R -3 m'
_space_group_IT_number 166
_space_group_name_Hall '-R 3 2"'
loop_
_atom_site_label
_atom_site_type_symbol
_atom_site_fract_x
_atom_site_fract_y
_atom_site_fract_z
Th1 Th 0.0000 0.0000 0.0000
Ag1 Ag 0.0000 0.0000 0.2595
Hg1 Hg 0.0000 0.0000 0.1362
Hg2 Hg 0.0000 0.0000 0.3950

=====

5.
# PBE-GGA Th2AgHg, relaxed
# **Formation enthalpy at 0 K**: -0.1070 eV/atom
# **VASP energy**: -4.61 eV per atom
# **Magnetic moment**: 0.00 μB per formula unit
# **DOS at the Fermi energy**: 1.155 states/eV per atom
data_Th2AgHg
_chemical_formula_sum 'Th2 Ag1 Hg1'
_cell_length_a 3.768
_cell_length_b 3.768
_cell_length_c 7.650
_cell_angle_alpha 90.00
_cell_angle_beta 90.00
_cell_angle_gamma 90.00
_space_group_name_H-M_alt 'P 4/m m m'
_space_group_IT_number 123
_space_group_name_Hall '-P 4 2'
loop_
_atom_site_label
_atom_site_type_symbol
_atom_site_fract_x
_atom_site_fract_y
_atom_site_fract_z
Th1 Th 0.000 0.000 0.243
Ag1 Ag 0.500 0.500 0.000
Hg1 Hg 0.500 0.500 0.500

=====

6.
# PBE-GGA Th2AgHg4, relaxed
# **Formation enthalpy at 0 K**: -0.0786 eV/atom
# **VASP energy**: -2.78 eV per atom
# **Magnetic moment**: 0.00 μB per formula unit
# **DOS at the Fermi energy**: 0.680 states/eV per atom
data_Th2AgHg4
_chemical_formula_sum 'Th6 Ag3 Hg12'
_cell_length_a 5.1761
_cell_length_b 5.1761
_cell_length_c 24.7295
_cell_angle_alpha 90.00
_cell_angle_beta 90.00
_cell_angle_gamma 120.00
_space_group_name_H-M_alt 'R -3 m'
_space_group_IT_number 166
_space_group_name_Hall '-R 3 2"'
loop_
_atom_site_label
_atom_site_type_symbol
_atom_site_fract_x
_atom_site_fract_y
_atom_site_fract_z
Th1 Th 0.0000 0.0000 0.2464
Ag1 Ag 0.0000 0.0000 0.5000
Hg1 Hg 0.0000 0.0000 0.1183
Hg2 Hg 0.0000 0.0000 0.3729

=====

7.
# PBE-GGA Th2Ag3Hg2, relaxed
# **Formation enthalpy at 0 K**: -0.0637 eV/atom
# **Energy above the most stable polymorph in this dataset**: 0.0 meV/atom
# **VASP energy**: -3.49 eV per atom
# **Magnetic moment**: 0.00 μB per formula unit
# **DOS at the Fermi energy**: 0.808 states/eV per atom
data_Th2Ag3Hg2
_chemical_formula_sum 'Th8 Ag12 Hg8'
_cell_length_a 3.731
_cell_length_b 21.098
_cell_length_c 8.721
_cell_angle_alpha 90.00
_cell_angle_beta 90.00
_cell_angle_gamma 90.00
_space_group_name_H-M_alt 'C m c m'
_space_group_IT_number 63
_space_group_name_Hall '-C 2c 2'
loop_
_atom_site_label
_atom_site_type_symbol
_atom_site_fract_x
_atom_site_fract_y
_atom_site_fract_z
Th1 Th 0.000 0.064 0.250
Th2 Th 0.000 0.151 0.750
Ag1 Ag 0.000 0.233 0.250
Ag2 Ag 0.000 0.448 0.087
Hg1 Hg 0.000 0.321 0.546

=====

8.
# PBE-GGA ThAgHg2, relaxed
# **Formation enthalpy at 0 K**: -0.1972 eV/atom
# **VASP energy**: -2.92 eV per atom
# **Magnetic moment**: 0.00 μB per formula unit
# **DOS at the Fermi energy**: 0.705 states/eV per atom
data_ThAgHg2
_chemical_formula_sum 'Th4 Ag4 Hg8'
_cell_length_a 7.275
_cell_length_b 7.275
_cell_length_c 7.275
_cell_angle_alpha 90.00
_cell_angle_beta 90.00
_cell_angle_gamma 90.00
_space_group_name_H-M_alt 'F m -3 m'
_space_group_IT_number 225
_space_group_name_Hall '-F 4 2 3'
loop_
_atom_site_label
_atom_site_type_symbol
_atom_site_fract_x
_atom_site_fract_y
_atom_site_fract_z
Th1 Th 0.000 0.000 0.000
Ag1 Ag 0.000 0.000 0.500
Hg1 Hg 0.250 0.250 0.250

=====

9.
# PBE-GGA Th2Ag3Hg2, relaxed
# **Formation enthalpy at 0 K**: -0.0305 eV/atom
# **Energy above the most stable polymorph in this dataset**: 33.2 meV/atom
# **VASP energy**: -3.46 eV per atom
# **Magnetic moment**: 0.00 μB per formula unit
# **DOS at the Fermi energy**: 0.768 states/eV per atom
data_Th2Ag3Hg2
_chemical_formula_sum 'Th4 Ag6 Hg4'
_cell_length_a 4.769
_cell_length_b 21.247
_cell_length_c 3.319
_cell_angle_alpha 90.00
_cell_angle_beta 90.00
_cell_angle_gamma 90.00
_space_group_name_H-M_alt 'C m m m'
_space_group_IT_number 65
_space_group_name_Hall '-C 2 2'
loop_
_atom_site_label
_atom_site_type_symbol
_atom_site_fract_x
_atom_site_fract_y
_atom_site_fract_z
Th1 Th 0.000 0.147 0.000
Ag1 Ag 0.000 0.000 0.000
Ag2 Ag 0.000 0.435 0.500
Hg1 Hg 0.000 0.290 0.500

=====

10.
# PBE-GGA Th2Ag2Hg3, relaxed
# **Formation enthalpy at 0 K**: -0.0994 eV/atom
# **Energy above the most stable polymorph in this dataset**: 0.0 meV/atom
# **VASP energy**: -3.16 eV per atom
# **Magnetic moment**: 0.00 μB per formula unit
# **DOS at the Fermi energy**: 0.600 states/eV per atom
data_Th2Ag2Hg3
_chemical_formula_sum 'Th8 Ag8 Hg12'
_cell_length_a 3.974
_cell_length_b 20.497
_cell_length_c 8.614
_cell_angle_alpha 90.00
_cell_angle_beta 90.00
_cell_angle_gamma 90.00
_space_group_name_H-M_alt 'C m c m'
_space_group_IT_number 63
_space_group_name_Hall '-C 2c 2'
loop_
_atom_site_label
_atom_site_type_symbol
_atom_site_fract_x
_atom_site_fract_y
_atom_site_fract_z
Th1 Th 0.000 0.056 0.250
Th2 Th 0.000 0.161 0.750
Ag1 Ag 0.000 0.306 0.528
Hg1 Hg 0.000 0.215 0.250
Hg2 Hg 0.000 0.438 0.072

=====

11.
# PBE-GGA ThTlAgHg, relaxed
# **Formation enthalpy at 0 K**: -0.1074 eV/atom
# **VASP energy**: -3.34 eV per atom
# **Magnetic moment**: 0.00 μB per formula unit
# **DOS at the Fermi energy**: 0.400 states/eV per atom
data_ThTlAgHg
_chemical_formula_sum 'Th4 Tl4 Ag4 Hg4'
_cell_length_a 7.366
_cell_length_b 7.366
_cell_length_c 7.366
_cell_angle_alpha 90.00
_cell_angle_beta 90.00
_cell_angle_gamma 90.00
_space_group_name_H-M_alt 'F -4 3 m'
_space_group_IT_number 216
_space_group_name_Hall 'F -4 2 3'
loop_
_atom_site_label
_atom_site_type_symbol
_atom_site_fract_x
_atom_site_fract_y
_atom_site_fract_z
Th1 Th 0.000 0.000 0.000
Tl1 Tl 0.000 0.000 0.500
Ag1 Ag 0.250 0.250 0.750
Hg1 Hg 0.250 0.250 0.250

=====

12.
# PBE-GGA TmThAgHg, relaxed
# **Formation enthalpy at 0 K**: -0.2222 eV/atom
# **VASP energy**: -3.98 eV per atom
# **Magnetic moment**: 0.69 μB per formula unit
# **DOS at the Fermi energy**: 1.019 states/eV per atom
data_TmThAgHg
_chemical_formula_sum 'Tm4 Th4 Ag4 Hg4'
_cell_length_a 7.452
_cell_length_b 7.452
_cell_length_c 7.452
_cell_angle_alpha 90.00
_cell_angle_beta 90.00
_cell_angle_gamma 90.00
_space_group_name_H-M_alt 'F -4 3 m'
_space_group_IT_number 216
_space_group_name_Hall 'F -4 2 3'
loop_
_atom_site_label
_atom_site_type_symbol
_atom_site_fract_x
_atom_site_fract_y
_atom_site_fract_z
Tm1 Tm 0.000 0.000 0.000
Th1 Th 0.000 0.000 0.500
Ag1 Ag 0.250 0.250 0.750
Hg1 Hg 0.250 0.250 0.250